1.
Computed, not measured: a relaxed structure of Co2Hg2As at the GGA-PBE level of DFT.

Structure (CIF):
```
data_Co2Hg2As
_chemical_formula_sum 'Co4 Hg4 As2'
_symmetry_space_group_name_H-M 'I 4/m m m'
_symmetry_Int_Tables_number 139
_symmetry_space_group_name_Hall '-I 4 2'
_cell_length_a 3.2965
_cell_length_b 3.2965
_cell_length_c 17.1807
_cell_angle_alpha 90.00
_cell_angle_beta 90.00
_cell_angle_gamma 90.00
loop_
_atom_site_label
_atom_site_type_symbol
_atom_site_fract_x
_atom_site_fract_y
_atom_site_fract_z
Co1 Co 0.0000 0.5000 0.2500
Hg1 Hg 0.0000 0.0000 0.1188
As1 As 0.0000 0.0000 0.5000
```

Summary:
Electronic total energy = -3.404 eV per atom
Theoretical density = 10.566 Mg/m³
Formation energy from the elements = 236.0 kJ/mol of formula units
Calculated volume = 186.7 Å³/cell
E above lowest polymorph = 234.4 meV per atom

---

2.
Computed, not measured: a relaxed structure of CoHg3As at the GGA-PBE level of DFT.

Structure (CIF):
```
data_CoHg3As
_chemical_formula_sum 'Co1 Hg3 As1'
_symmetry_space_group_name_H-M 'P m -3 m'
_symmetry_Int_Tables_number 221
_symmetry_space_group_name_Hall '-P 4 2 3'
_cell_length_a 5.0016
_cell_length_b 5.0016
_cell_length_c 5.0016
_cell_angle_alpha 90.00
_cell_angle_beta 90.00
_cell_angle_gamma 90.00
loop_
_atom_site_label
_atom_site_type_symbol
_atom_site_fract_x
_atom_site_fract_y
_atom_site_fract_z
Co1 Co 0.0000 0.0000 0.0000
Hg1 Hg 0.0000 0.0000 0.5000
As1 As 0.5000 0.5000 0.5000
```

Summary:
Electronic total energy = -1.836 eV per atom
Theoretical density = 9.763 Mg/m³
Formation energy from the elements = 335.8 kJ/mol of formula units
Calculated volume = 125.1 Å³/cell
E above lowest polymorph = 0.0 meV per atom

---

3.
Computed, not measured: a relaxed structure of Co2HgAs at the GGA-PBE level of DFT.

Structure (CIF):
```
data_Co2HgAs
_chemical_formula_sum 'Co4 Hg2 As2'
_symmetry_space_group_name_H-M 'I m m m'
_symmetry_Int_Tables_number 71
_symmetry_space_group_name_Hall '-I 2 2'
_cell_length_a 3.6020
_cell_length_b 4.7315
_cell_length_c 7.0064
_cell_angle_alpha 90.00
_cell_angle_beta 90.00
_cell_angle_gamma 90.00
loop_
_atom_site_label
_atom_site_type_symbol
_atom_site_fract_x
_atom_site_fract_y
_atom_site_fract_z
Co1 Co 0.0000 0.0000 0.2022
Hg1 Hg 0.0000 0.5000 0.0000
As1 As 0.0000 0.5000 0.5000
```

Summary:
Electronic total energy = -4.457 eV per atom
Theoretical density = 10.941 Mg/m³
Formation energy from the elements = 128.9 kJ/mol of formula units
Calculated volume = 119.4 Å³/cell
E above lowest polymorph = 170.9 meV per atom

---

4.
Computed, not measured: a relaxed structure of Co2HgAs at the GGA-PBE level of DFT.

Structure (CIF):
```
data_Co2HgAs
_chemical_formula_sum 'Co4 Hg2 As2'
_symmetry_space_group_name_H-M 'C m m m'
_symmetry_Int_Tables_number 65
_symmetry_space_group_name_Hall '-C 2 2'
_cell_length_a 4.1381
_cell_length_b 4.1457
_cell_length_c 6.6604
_cell_angle_alpha 90.00
_cell_angle_beta 90.00
_cell_angle_gamma 90.00
loop_
_atom_site_label
_atom_site_type_symbol
_atom_site_fract_x
_atom_site_fract_y
_atom_site_fract_z
Co1 Co 0.0000 0.0000 0.1977
Hg1 Hg 0.0000 0.5000 0.5000
As1 As 0.0000 0.5000 0.0000
```

Summary:
Electronic total energy = -4.614 eV per atom
Theoretical density = 11.434 Mg/m³
Formation energy from the elements = 68.2 kJ/mol of formula units
Calculated volume = 114.3 Å³/cell
E above lowest polymorph = 13.4 meV per atom

---

5.
Computed, not measured: a relaxed structure of Co2Hg2As at the GGA-PBE level of DFT.

Structure (CIF):
```
data_Co2Hg2As
_chemical_formula_sum 'Co4 Hg4 As2'
_symmetry_space_group_name_H-M 'P 4/m b m'
_symmetry_Int_Tables_number 127
_symmetry_space_group_name_Hall '-P 4 2ab'
_cell_length_a 6.1043
_cell_length_b 6.1043
_cell_length_c 4.4307
_cell_angle_alpha 90.00
_cell_angle_beta 90.00
_cell_angle_gamma 90.00
loop_
_atom_site_label
_atom_site_type_symbol
_atom_site_fract_x
_atom_site_fract_y
_atom_site_fract_z
Co1 Co 0.1486 0.3514 0.0000
Hg1 Hg 0.1656 0.6656 0.5000
As1 As 0.0000 0.0000 0.0000
```

Summary:
Electronic total energy = -3.638 eV per atom
Theoretical density = 11.948 Mg/m³
Formation energy from the elements = 123.0 kJ/mol of formula units
Calculated volume = 165.1 Å³/cell
E above lowest polymorph = 0.0 meV per atom

---

6.
Computed, not measured: a relaxed structure of Co2HgAs at the GGA-PBE level of DFT.

Structure (CIF):
```
data_Co2HgAs
_chemical_formula_sum 'Co2 Hg1 As1'
_symmetry_space_group_name_H-M 'P 4/m m m'
_symmetry_Int_Tables_number 123
_symmetry_space_group_name_Hall '-P 4 2'
_cell_length_a 4.3610
_cell_length_b 4.3610
_cell_length_c 3.0761
_cell_angle_alpha 90.00
_cell_angle_beta 90.00
_cell_angle_gamma 90.00
loop_
_atom_site_label
_atom_site_type_symbol
_atom_site_fract_x
_atom_site_fract_y
_atom_site_fract_z
Co1 Co 0.0000 0.5000 0.0000
Hg1 Hg 0.0000 0.0000 0.5000
As1 As 0.5000 0.5000 0.5000
```

Summary:
Electronic total energy = -4.402 eV per atom
Theoretical density = 11.166 Mg/m³
Formation energy from the elements = 149.9 kJ/mol of formula units
Calculated volume = 58.5 Å³/cell
E above lowest polymorph = 225.1 meV per atom

---

7.
Computed, not measured: a relaxed structure of Co2HgAs at the GGA-PBE level of DFT.

Structure (CIF):
```
data_Co2HgAs
_chemical_formula_sum 'Co4 Hg2 As2'
_symmetry_space_group_name_H-M 'I -4 m 2'
_symmetry_Int_Tables_number 119
_symmetry_space_group_name_Hall 'I -4 -2'
_cell_length_a 3.7589
_cell_length_b 3.7589
_cell_length_c 8.5287
_cell_angle_alpha 90.00
_cell_angle_beta 90.00
_cell_angle_gamma 90.00
loop_
_atom_site_label
_atom_site_type_symbol
_atom_site_fract_x
_atom_site_fract_y
_atom_site_fract_z
Co1 Co 0.0000 0.0000 0.0000
Co2 Co 0.0000 0.5000 0.2500
Hg1 Hg 0.0000 0.5000 0.7500
As1 As 0.0000 0.0000 0.5000
```

Summary:
Electronic total energy = -4.306 eV per atom
Theoretical density = 10.841 Mg/m³
Formation energy from the elements = 186.9 kJ/mol of formula units
Calculated volume = 120.5 Å³/cell
E above lowest polymorph = 321.2 meV per atom

---

8.
Computed, not measured: a relaxed structure of Co2HgAs at the GGA-PBE level of DFT.

Structure (CIF):
```
data_Co2HgAs
_chemical_formula_sum 'Co8 Hg4 As4'
_symmetry_space_group_name_H-M 'F m -3 m'
_symmetry_Int_Tables_number 225
_symmetry_space_group_name_Hall '-F 4 2 3'
_cell_length_a 6.1499
_cell_length_b 6.1499
_cell_length_c 6.1499
_cell_angle_alpha 90.00
_cell_angle_beta 90.00
_cell_angle_gamma 90.00
loop_
_atom_site_label
_atom_site_type_symbol
_atom_site_fract_x
_atom_site_fract_y
_atom_site_fract_z
Co1 Co 0.2500 0.2500 0.2500
Hg1 Hg 0.0000 0.0000 0.0000
As1 As 0.0000 0.0000 0.5000
```

Summary:
Electronic total energy = -4.407 eV per atom
Theoretical density = 11.234 Mg/m³
Formation energy from the elements = 147.9 kJ/mol of formula units
Calculated volume = 232.6 Å³/cell
E above lowest polymorph = 220.1 meV per atom

---

9.
Computed, not measured: a relaxed structure of Co2HgAs2 at the GGA-PBE level of DFT.

Structure (CIF):
```
data_Co2HgAs2
_chemical_formula_sum 'Co4 Hg2 As4'
_symmetry_space_group_name_H-M 'I 4/m m m'
_symmetry_Int_Tables_number 139
_symmetry_space_group_name_Hall '-I 4 2'
_cell_length_a 4.1669
_cell_length_b 4.1669
_cell_length_c 9.4556
_cell_angle_alpha 90.00
_cell_angle_beta 90.00
_cell_angle_gamma 90.00
loop_
_atom_site_label
_atom_site_type_symbol
_atom_site_fract_x
_atom_site_fract_y
_atom_site_fract_z
Co1 Co 0.0000 0.5000 0.2500
Hg1 Hg 0.0000 0.0000 0.0000
As1 As 0.0000 0.0000 0.3648
```

Summary:
Electronic total energy = -4.713 eV per atom
Theoretical density = 9.473 Mg/m³
Formation energy from the elements = 24.0 kJ/mol of formula units
Calculated volume = 164.2 Å³/cell
E above lowest polymorph = 0.0 meV per atom

---

10.
Computed, not measured: a relaxed structure of CoHgAs at the GGA-PBE level of DFT.

Structure (CIF):
```
data_CoHgAs
_chemical_formula_sum 'Co1 Hg1 As1'
_symmetry_space_group_name_H-M 'P 3 m 1'
_symmetry_Int_Tables_number 156
_cell_length_a 3.9356
_cell_length_b 3.9356
_cell_length_c 4.0681
_cell_angle_alpha 90.00
_cell_angle_beta 90.00
_cell_angle_gamma 120.00
loop_
_symmetry_equiv_pos_as_xyz
'x,y,z'
'-y,x-y,z'
'-x+y,-x,z'
'-y,-x,z'
'-x+y,y,z'
'x,x-y,z'
loop_
_atom_site_label
_atom_site_type_symbol
_atom_site_fract_x
_atom_site_fract_y
_atom_site_fract_z
Co1 Co 0.0000 0.0000 0.0000
Hg1 Hg 0.6667 0.3333 0.5591
As1 As 0.3333 0.6667 0.0663
```

Summary:
Electronic total energy = -3.746 eV per atom
Theoretical density = 10.177 Mg/m³
Formation energy from the elements = 79.1 kJ/mol of formula units
Calculated volume = 54.6 Å³/cell
E above lowest polymorph = 176.5 meV per atom

---

11.
Computed, not measured: a relaxed structure of Co2HgAs at the GGA-PBE level of DFT.

Structure (CIF):
```
data_Co2HgAs
_chemical_formula_sum 'Co8 Hg4 As4'
_symmetry_space_group_name_H-M 'F -4 3 m'
_symmetry_Int_Tables_number 216
_symmetry_space_group_name_Hall 'F -4 2 3'
_cell_length_a 6.2727
_cell_length_b 6.2727
_cell_length_c 6.2727
_cell_angle_alpha 90.00
_cell_angle_beta 90.00
_cell_angle_gamma 90.00
loop_
_atom_site_label
_atom_site_type_symbol
_atom_site_fract_x
_atom_site_fract_y
_atom_site_fract_z
Co1 Co 0.0000 0.0000 0.0000
Co2 Co 0.2500 0.2500 0.2500
Hg1 Hg 0.2500 0.2500 0.7500
As1 As 0.0000 0.0000 0.5000
```

Summary:
Electronic total energy = -4.163 eV per atom
Theoretical density = 10.587 Mg/m³
Formation energy from the elements = 242.2 kJ/mol of formula units
Calculated volume = 246.8 Å³/cell
E above lowest polymorph = 464.3 meV per atom

---

12.
Computed, not measured: a relaxed structure of In2CoHgAs at the GGA-PBE level of DFT.

Structure (CIF):
```
data_In2CoHgAs
_chemical_formula_sum 'In2 Co1 Hg1 As1'
_symmetry_space_group_name_H-M 'P 4/m m m'
_symmetry_Int_Tables_number 123
_symmetry_space_group_name_Hall '-P 4 2'
_cell_length_a 5.0918
_cell_length_b 5.0918
_cell_length_c 4.4364
_cell_angle_alpha 90.00
_cell_angle_beta 90.00
_cell_angle_gamma 90.00
loop_
_atom_site_label
_atom_site_type_symbol
_atom_site_fract_x
_atom_site_fract_y
_atom_site_fract_z
In1 In 0.0000 0.5000 0.0000
Co1 Co 0.0000 0.0000 0.0000
Hg1 Hg 0.5000 0.5000 0.5000
As1 As 0.0000 0.0000 0.5000
```

Summary:
Electronic total energy = -3.453 eV per atom
Theoretical density = 8.144 Mg/m³
Formation energy from the elements = 25.8 kJ/mol of formula units
Calculated volume = 115.0 Å³/cell